(one)
HgTe2As: relaxed, GGA-PBEsol.

Output
Magnetic moment ... 0.0 μB per formula unit
DOS at the Fermi energy ... 0.42 states/eV per atom
Space group ... R-3m (166)

Unit cell a=4.2084 b=4.2084 c=7.2918 alpha=73.23 beta=73.23 gamma=60.00
Sites, in units of the cell vectors:
As  0.5000  0.5000  0.5000
Te  0.2446  0.2446  0.2662
Hg  0.0000  0.0000  0.0000
Te  0.7554  0.7554  0.7338

(two)
HgTe2As: relaxed, GGA-PBEsol.

Output
Magnetic moment ... 0.0 μB per formula unit
DOS at the Fermi energy ... 0.34 states/eV per atom
Space group ... Cm (8)

Unit cell a=4.1577 b=4.1413 c=6.5847 alpha=108.33 beta=84.88 gamma=90.00
Sites, in units of the cell vectors:
As  0.5693  0.4811  0.9621
Te  0.6791  0.2680  0.5361
Te  0.0645  0.0077  0.0154
Hg  0.1871  0.7432  0.4864

Energy ordering: (one) at the bottom, the next structure 6.6 kJ/mol of atoms above.

(one)
TlHg2As: relaxed, GGA-PBEsol.

Output
Magnetic moment ... 0.0 μB per formula unit
DOS at the Fermi energy ... 0.45 states/eV per atom
Space group ... Cmmm (65)

Unit cell a=3.3596 b=3.3596 c=8.5432 alpha=90.00 beta=90.00 gamma=102.79
Sites, in units of the cell vectors:
Hg  0.0000  0.0000  0.7721
Tl  0.5000  0.5000  0.5000
Hg  0.0000  0.0000  0.2279
As  0.5000  0.5000  0.0000

(two)
TlHg2As: relaxed, GGA-PBEsol.

Output
Magnetic moment ... 0.0 μB per formula unit
DOS at the Fermi energy ... 0.36 states/eV per atom
Space group ... I-4m2 (119)

Unit cell a=5.0103 b=5.0103 c=5.1376 alpha=119.18 beta=119.18 gamma=90.00
Sites, in units of the cell vectors:
Tl  0.5000  0.5000  0.0000
As  0.2500  0.7500  0.5000
Hg  0.7500  0.2500  0.5000
Hg  0.0000  0.0000  0.0000

(three)
TlHg2As: relaxed, GGA-PBEsol.

Output
Magnetic moment ... 0.0 μB per formula unit
DOS at the Fermi energy ... 0.42 states/eV per atom
Space group ... Immm (71)

Unit cell a=3.3820 b=5.4462 c=6.0371 alpha=116.81 beta=106.27 gamma=90.00
Sites, in units of the cell vectors:
Tl  0.5000  0.0000  0.0000
Hg  0.7303  0.7303  0.4606
As  0.0000  0.5000  0.0000
Hg  0.2697  0.2697  0.5394

Energy ordering: (two) at the bottom, the next structure 0.9 kJ/mol of atoms above.

(one)
TlHgAs2: relaxed, GGA-PBEsol.

Output
Magnetic moment ... 0.0 μB per formula unit
DOS at the Fermi energy ... 0.26 states/eV per atom
Space group ... Amm2 (38)

Unit cell a=2.9890 b=3.5916 c=8.9926 alpha=90.00 beta=99.57 gamma=90.00
Sites, in units of the cell vectors:
Hg  0.4468  0.0000  0.8937
As  0.1725  0.0000  0.3450
As  0.0749  0.5000  0.1497
Tl  0.8094  0.5000  0.6189

(two)
TlHgAs2: relaxed, GGA-PBEsol.

Output
Magnetic moment ... 0.0 μB per formula unit
DOS at the Fermi energy ... 0.53 states/eV per atom
Space group ... C2/m (12)

Unit cell a=3.0801 b=5.7301 c=5.7301 alpha=116.29 beta=97.14 gamma=97.14
Sites, in units of the cell vectors:
As  0.0000  0.0000  0.5000
Hg  0.5000  0.0000  0.0000
As  0.0000  0.5000  0.0000
Tl  0.5000  0.5000  0.5000

(three)
TlHgAs2: relaxed, GGA-PBEsol.

Output
Magnetic moment ... 0.0 μB per formula unit
DOS at the Fermi energy ... 0.48 states/eV per atom
Space group ... Immm (71)

Unit cell a=3.7204 b=4.6942 c=5.8964 alpha=113.46 beta=108.39 gamma=90.00
Sites, in units of the cell vectors:
Tl  0.0000  0.5000  0.0000
As  0.2341  0.2341  0.4682
As  0.7659  0.7659  0.5318
Hg  0.5000  0.0000  0.0000

(four)
TlHgAs2: relaxed, GGA-PBEsol.

Output
Magnetic moment ... 0.0 μB per formula unit
DOS at the Fermi energy ... 0.71 states/eV per atom
Space group ... Fm-3m (225)

Unit cell a=4.9932 b=4.9932 c=4.9932 alpha=60.00 beta=60.00 gamma=60.00
Sites, in units of the cell vectors:
As  0.2500  0.2500  0.2500
Hg  0.0000  0.0000  0.0000
As  0.7500  0.7500  0.7500
Tl  0.5000  0.5000  0.5000

Energy ordering: (one) at the bottom, the next structure 20.6 kJ/mol of atoms above.

(one)
Tl3HgAs: relaxed, GGA-PBEsol.

Output
Magnetic moment ... 0.0 μB per formula unit
DOS at the Fermi energy ... 0.75 states/eV per atom
Space group ... Pm-3m (221)

Unit cell a=5.5301 b=5.5301 c=5.5301 alpha=90.00 beta=90.00 gamma=90.00
Sites, in units of the cell vectors:
Tl  0.0000  0.0000  0.5000
As  0.0000  0.0000  0.0000
Tl  0.0000  0.5000  0.0000
Tl  0.5000  0.0000  0.0000
Hg  0.5000  0.5000  0.5000

(two)
Tl3HgAs: relaxed, GGA-PBEsol.

Output
Magnetic moment ... 0.0 μB per formula unit
DOS at the Fermi energy ... 0.76 states/eV per atom
Space group ... Pm-3m (221)

Unit cell a=5.4893 b=5.4893 c=5.4893 alpha=90.00 beta=90.00 gamma=90.00
Sites, in units of the cell vectors:
Hg  0.0000  0.0000  0.0000
Tl  0.0000  0.5000  0.0000
Tl  0.0000  0.0000  0.5000
As  0.5000  0.5000  0.5000
Tl  0.5000  0.0000  0.0000

Energy ordering: (one) at the bottom, the next structure 21.0 kJ/mol of atoms above.

(one)
HgAsW2: relaxed, GGA-PBEsol.

Output
Magnetic moment ... 0.0 μB per formula unit
DOS at the Fermi energy ... 0.53 states/eV per atom
Space group ... R-3m (166)

Unit cell a=2.9639 b=2.9639 c=8.8373 alpha=80.35 beta=80.35 gamma=60.00
Sites, in units of the cell vectors:
W  0.7420  0.7420  0.7740
W  0.2580  0.2580  0.2260
Hg  0.5000  0.5000  0.5000
As  0.0000  0.0000  0.0000

(two)
HgAsW2: relaxed, GGA-PBEsol.

Output
Magnetic moment ... 0.0 μB per formula unit
DOS at the Fermi energy ... 0.75 states/eV per atom
Space group ... I-4m2 (119)

Unit cell a=3.9930 b=3.9930 c=5.0239 alpha=113.42 beta=113.42 gamma=90.00
Sites, in units of the cell vectors:
As  0.5000  0.5000  0.0000
W  0.0000  0.0000  0.0000
Hg  0.2500  0.7500  0.5000
W  0.7500  0.2500  0.5000

Energy ordering: (one) at the bottom, the next structure 28.7 kJ/mol of atoms above.

(one)
Y2HgAs: relaxed, GGA-PBEsol.

Output
Magnetic moment ... 0.0 μB per formula unit
DOS at the Fermi energy ... 0.73 states/eV per atom
Space group ... R-3m (166)

Unit cell a=3.9740 b=3.9740 c=7.7843 alpha=75.21 beta=75.21 gamma=60.00
Sites, in units of the cell vectors:
Y  0.7400  0.7400  0.7800
Hg  0.5000  0.5000  0.5000
Y  0.2600  0.2600  0.2200
As  0.0000  0.0000  0.0000

(two)
Y2HgAs: relaxed, GGA-PBEsol.

Output
Magnetic moment ... 0.0 μB per formula unit
DOS at the Fermi energy ... 0.72 states/eV per atom
Space group ... P4/mmm (123)

Unit cell a=3.7360 b=4.9535 c=4.9535 alpha=90.00 beta=90.00 gamma=90.00
Sites, in units of the cell vectors:
As  0.5000  0.5000  0.5000
Y  0.0000  0.5000  0.0000
Y  0.0000  0.0000  0.5000
Hg  0.5000  0.0000  0.0000

Energy ordering: (one) at the bottom, the next structure 16.4 kJ/mol of atoms above.

(one)
ZnHg2As: relaxed, GGA-PBEsol.

Output
Magnetic moment ... 0.0 μB per formula unit
DOS at the Fermi energy ... 0.25 states/eV per atom
Space group ... Cm (8)

Unit cell a=4.1460 b=4.1581 c=6.4771 alpha=89.65 beta=90.00 gamma=119.90
Sites, in units of the cell vectors:
Zn  0.5164  0.0329  0.5764
Hg  0.9093  0.8185  0.0254
Hg  0.2272  0.4543  0.2752
As  0.8471  0.6943  0.6230

(two)
ZnHg2As: relaxed, GGA-PBEsol.

Output
Magnetic moment ... 0.0 μB per formula unit
DOS at the Fermi energy ... 0.44 states/eV per atom
Space group ... Pmm2 (25)

Unit cell a=2.9320 b=3.7497 c=8.3637 alpha=90.00 beta=90.00 gamma=90.00
Sites, in units of the cell vectors:
As  0.5000  0.5000  0.5673
Zn  0.0000  0.0000  0.6900
Hg  0.0000  0.0000  0.0009
Hg  0.5000  0.5000  0.2418

Energy ordering: (one) at the bottom, the next structure 5.8 kJ/mol of atoms above.

(one)
ZnHg2As: relaxed, GGA-PBEsol.

Output
Magnetic moment ... 0.0 μB per formula unit
DOS at the Fermi energy ... 0.41 states/eV per atom
Space group ... Cmmm (65)

Unit cell a=4.2203 b=4.2203 c=4.6777 alpha=90.00 beta=90.00 gamma=95.79
Sites, in units of the cell vectors:
Zn  0.5000  0.5000  0.5000
As  0.0000  0.0000  0.5000
Hg  0.2607  0.7393  0.0000
Hg  0.7393  0.2607  0.0000

(two)
ZnHg2As: relaxed, GGA-PBEsol.

Output
Magnetic moment ... 0.0 μB per formula unit
DOS at the Fermi energy ... 0.46 states/eV per atom
Space group ... Cmmm (65)

Unit cell a=3.0846 b=3.0846 c=8.4810 alpha=90.00 beta=90.00 gamma=101.58
Sites, in units of the cell vectors:
As  0.5000  0.5000  0.0000
Zn  0.5000  0.5000  0.5000
Hg  0.0000  0.0000  0.2662
Hg  0.0000  0.0000  0.7338

Energy ordering: (one) at the bottom, the next structure 7.0 kJ/mol of atoms above.

(one)
NbAsPd2I: relaxed, GGA-PBEsol.

Output
Magnetic moment ... 2.7 μB per formula unit
DOS at the Fermi energy ... 1.16 states/eV per atom
Space group ... P4/mmm (123)

Unit cell a=4.7700 b=4.7700 c=5.4232 alpha=90.00 beta=90.00 gamma=90.00
Each line ends with the local moment (μB).
Sites, in units of the cell vectors:
I  0.0000  0.0000  0.0000  0.01
Pd  0.5000  0.0000  0.0000  -0.02
Nb  0.5000  0.5000  0.5000  2.32
Pd  0.0000  0.5000  0.0000  -0.02
As  0.0000  0.0000  0.5000  -0.16

(two)
NbAsPd2I: relaxed, GGA-PBEsol.

Output
Magnetic moment ... 3.0 μB per formula unit
DOS at the Fermi energy ... 0.91 states/eV per atom
Space group ... P4/mmm (123)

Unit cell a=4.5618 b=4.5618 c=5.5414 alpha=90.00 beta=90.00 gamma=90.00
Each line ends with the local moment (μB).
Sites, in units of the cell vectors:
I  0.0000  0.0000  0.5000  -0.03
Nb  0.5000  0.5000  0.5000  2.48
Pd  0.5000  0.0000  0.0000  -0.07
Pd  0.0000  0.5000  0.0000  -0.07
As  0.0000  0.0000  0.0000  -0.03

Energy ordering: (two) at the bottom, the next structure 49.9 kJ/mol of atoms above.

(one)
Tl3AsI: relaxed, GGA-PBEsol.

Output
Magnetic moment ... 0.0 μB per formula unit
DOS at the Fermi energy ... 0.43 states/eV per atom
Space group ... Pm-3m (221)

Unit cell a=5.6050 b=5.6050 c=5.6050 alpha=90.00 beta=90.00 gamma=90.00
Sites, in units of the cell vectors:
Tl  0.0000  0.0000  0.5000
Tl  0.5000  0.0000  0.0000
I  0.5000  0.5000  0.5000
Tl  0.0000  0.5000  0.0000
As  0.0000  0.0000  0.0000

(two)
Tl3AsI: relaxed, GGA-PBEsol.

Output
Magnetic moment ... 1.0 μB per formula unit
DOS at the Fermi energy ... 0.78 states/eV per atom
Space group ... Pm-3m (221)

Unit cell a=6.1819 b=6.1819 c=6.1819 alpha=90.00 beta=90.00 gamma=90.00
Each line ends with the local moment (μB).
Sites, in units of the cell vectors:
Tl  0.5000  0.0000  0.0000  -0.01
I  0.0000  0.0000  0.0000  0.00
Tl  0.0000  0.5000  0.0000  -0.01
Tl  0.0000  0.0000  0.5000  -0.01
As  0.5000  0.5000  0.5000  0.50

Energy ordering: (one) at the bottom, the next structure 59.6 kJ/mol of atoms above.

(one)
InAsIr2: relaxed, GGA-PBEsol.

Output
Magnetic moment ... 0.0 μB per formula unit
DOS at the Fermi energy ... 0.49 states/eV per atom
Space group ... Pmmm (47)

Unit cell a=2.9982 b=3.4903 c=6.0389 alpha=90.00 beta=90.00 gamma=90.00
Sites, in units of the cell vectors:
In  0.5000  0.5000  0.5000
As  0.5000  0.5000  0.0000
Ir  0.0000  0.0000  0.7648
Ir  0.0000  0.0000  0.2352

(two)
InAsIr2: relaxed, GGA-PBEsol.

Output
Magnetic moment ... 0.0 μB per formula unit
DOS at the Fermi energy ... 0.75 states/eV per atom
Space group ... Cmmm (65)

Unit cell a=2.9157 b=2.9157 c=8.8181 alpha=90.00 beta=90.00 gamma=119.83
Sites, in units of the cell vectors:
In  0.5000  0.5000  0.0000
As  0.5000  0.5000  0.5000
Ir  0.0000  0.0000  0.2618
Ir  0.0000  0.0000  0.7382

(three)
InAsIr2: relaxed, GGA-PBEsol.

Output
Magnetic moment ... 0.0 μB per formula unit
DOS at the Fermi energy ... 0.47 states/eV per atom
Space group ... P4/mmm (123)

Unit cell a=3.5413 b=4.2344 c=4.2344 alpha=90.00 beta=90.00 gamma=90.00
Sites, in units of the cell vectors:
Ir  0.0000  0.5000  0.0000
In  0.5000  0.0000  0.0000
Ir  0.0000  0.0000  0.5000
As  0.5000  0.5000  0.5000

Energy ordering: (one) at the bottom, the next structure 6.5 kJ/mol of atoms above.

(one)
K2InAs: relaxed, GGA-PBEsol.

Output
Magnetic moment ... 0.0 μB per formula unit
DOS at the Fermi energy ... 0.21 states/eV per atom
Space group ... Amm2 (38)

Unit cell a=4.2269 b=5.1812 c=6.8611 alpha=112.16 beta=90.00 gamma=90.00
Sites, in units of the cell vectors:
As  0.0000  0.1779  0.4813
K  0.5000  0.6061  0.3368
K  0.0000  0.9089  0.9421
In  0.5000  0.3071  0.7398

(two)
K2InAs: relaxed, GGA-PBEsol.

Output
Magnetic moment ... 0.0 μB per formula unit
DOS at the Fermi energy ... 0.31 states/eV per atom
Space group ... I-4m2 (119)

Unit cell a=5.1755 b=5.7170 c=5.1755 alpha=63.09 beta=90.00 gamma=116.91
Sites, in units of the cell vectors:
K  0.0000  0.0000  0.0000
K  0.2500  0.5000  0.2500
In  0.7500  0.5000  0.7500
As  0.5000  0.0000  0.5000

Energy ordering: (one) at the bottom, the next structure 18.6 kJ/mol of atoms above.